Entry 1:
# BeSiMo2 (PBE-GGA, relaxed)
# Energy above the most stable polymorph in this dataset in kJ/mol of formula units: 116.8
# Crystal system: tetragonal
# Electronic total energy in eV/atom: -7.686
# Magnetic moment in μB per formula unit: 0.00
data_BeSiMo2
_chemical_formula_sum 'Be2 Si2 Mo4'
_cell_length_a 3.981
_cell_length_b 3.981
_cell_length_c 6.692
_cell_angle_alpha 90.00
_cell_angle_beta 90.00
_cell_angle_gamma 90.00
_symmetry_space_group_name_H-M 'I 4/m m m'
_symmetry_Int_Tables_number 139
_symmetry_space_group_name_Hall '-I 4 2'
loop_
_atom_site_label
_atom_site_type_symbol
_atom_site_fract_x
_atom_site_fract_y
_atom_site_fract_z
Be1 Be 0.000 0.000 0.000
Si1 Si 0.000 0.000 0.500
Mo1 Mo 0.000 0.500 0.250

---

Entry 2:
# BeSi2Mo (PBE-GGA, relaxed)
# Energy above the most stable polymorph in this dataset in kJ/mol of formula units: 184.3
# Crystal system: trigonal
# Electronic total energy in eV/atom: -6.053
# Magnetic moment in μB per formula unit: 0.00
data_BeSi2Mo
_chemical_formula_sum 'Be3 Si6 Mo3'
_cell_length_a 2.8899
_cell_length_b 2.8899
_cell_length_c 22.3965
_cell_angle_alpha 90.00
_cell_angle_beta 90.00
_cell_angle_gamma 120.00
_symmetry_space_group_name_H-M 'R 3 m'
_symmetry_Int_Tables_number 160
_symmetry_space_group_name_Hall 'R 3 -2"'
loop_
_atom_site_label
_atom_site_type_symbol
_atom_site_fract_x
_atom_site_fract_y
_atom_site_fract_z
Be1 Be 0.0000 0.0000 0.0000
Si1 Si 0.0000 0.0000 0.4915
Si2 Si 0.0000 0.0000 0.7401
Mo1 Mo 0.0000 0.0000 0.2471

---

Entry 3:
# BeSi2Mo (PBE-GGA, relaxed)
# Energy above the most stable polymorph in this dataset in kJ/mol of formula units: 14.8
# Crystal system: tetragonal
# Electronic total energy in eV/atom: -6.493
# Magnetic moment in μB per formula unit: 0.00
data_BeSi2Mo
_chemical_formula_sum 'Be1 Si2 Mo1'
_cell_length_a 3.194
_cell_length_b 3.194
_cell_length_c 5.013
_cell_angle_alpha 90.00
_cell_angle_beta 90.00
_cell_angle_gamma 90.00
_symmetry_space_group_name_H-M 'P 4/m m m'
_symmetry_Int_Tables_number 123
_symmetry_space_group_name_Hall '-P 4 2'
loop_
_atom_site_label
_atom_site_type_symbol
_atom_site_fract_x
_atom_site_fract_y
_atom_site_fract_z
Be1 Be 0.000 0.000 0.000
Si1 Si 0.500 0.500 0.239
Mo1 Mo 0.000 0.000 0.500

---

Entry 4:
# BeSi2Mo (PBE-GGA, relaxed)
# Energy above the most stable polymorph in this dataset in kJ/mol of formula units: 132.9
# Crystal system: monoclinic
# Electronic total energy in eV/atom: -6.187
# Magnetic moment in μB per formula unit: 0.00
data_BeSi2Mo
_chemical_formula_sum 'Be2 Si4 Mo2'
_cell_length_a 5.148
_cell_length_b 8.398
_cell_length_c 2.798
_cell_angle_alpha 90.00
_cell_angle_beta 115.73
_cell_angle_gamma 90.00
_symmetry_space_group_name_H-M 'C 1 2/m 1'
_symmetry_Int_Tables_number 12
_symmetry_space_group_name_Hall '-C 2y'
loop_
_atom_site_label
_atom_site_type_symbol
_atom_site_fract_x
_atom_site_fract_y
_atom_site_fract_z
Be1 Be 0.000 0.000 0.000
Si1 Si 0.250 0.250 0.000
Mo1 Mo 0.000 0.500 0.000